Below is a geometry-optimized DyEr7Al4 structure, with properties calculated at the PBE-GGA level. Values from VASP.

Computed properties:
ΔH_f (0 K)   -0.19 eV/atom

The structure in Quantum ESPRESSO input format:
```
&SYSTEM
  ibrav = 0, nat = 12, ntyp = 3
/
ATOMIC_SPECIES
Dy 162.50 Dy.upf
Er 167.26 Er.upf
Al 26.98 Al.upf
CELL_PARAMETERS angstrom
6.4017 0.0000 0.0000
-0.0089 6.4777 0.0000
-3.1933 -0.4470 7.7257
ATOMIC_POSITIONS crystal
Dy 0.0000 0.0000 0.0000
Er 0.0000 0.5000 0.0000
Er 0.2137 0.4247 0.4271
Er 0.2480 0.9364 0.4966
Er 0.4334 0.7209 0.8655
Er 0.5666 0.2791 0.1345
Er 0.7520 0.0636 0.5034
Er 0.7863 0.5753 0.5729
Al 0.1816 0.2531 0.7688
Al 0.4126 0.7480 0.2309
Al 0.5874 0.2520 0.7691
Al 0.8184 0.7469 0.2312
```

Below is a geometry-optimized Th2ZrSi3Pt4 structure, with properties calculated at the PBE-GGA level. Values from VASP.

Computed properties:
Formation energy from raw total energies   -24.8 kcal/mol of atoms

The structure in Quantum ESPRESSO input format:
```
&SYSTEM
  ibrav = 0, nat = 10, ntyp = 4
/
ATOMIC_SPECIES
Th 232.04 Th.upf
Zr 91.22 Zr.upf
Si 28.09 Si.upf
Pt 195.08 Pt.upf
CELL_PARAMETERS angstrom
4.2523 0.0000 0.0000
0.0000 4.2523 0.0000
0.0000 0.0000 10.6589
ATOMIC_POSITIONS crystal
Th 0.0000 0.5000 0.2312
Th 0.5000 0.0000 0.7688
Zr 0.0000 0.0000 0.5000
Si 0.0000 0.5000 0.8738
Si 0.5000 0.0000 0.1262
Si 0.5000 0.5000 0.5000
Pt 0.0000 0.0000 0.0000
Pt 0.0000 0.5000 0.6488
Pt 0.5000 0.0000 0.3512
Pt 0.5000 0.5000 0.0000
```

Below is a geometry-optimized Y2Rh structure, with properties calculated at the PBE-GGA level. Values from VASP.

Computed properties:
ΔH_f (0 K)   -0.48 eV/atom

The structure in Quantum ESPRESSO input format:
```
&SYSTEM
  ibrav = 0, nat = 3, ntyp = 2
/
ATOMIC_SPECIES
Y 88.91 Y.upf
Rh 102.91 Rh.upf
CELL_PARAMETERS angstrom
4.0105 0.0000 0.0000
-2.0053 3.4732 0.0000
0.0000 0.0000 6.2390
ATOMIC_POSITIONS crystal
Y 0.3333 0.6667 0.2404
Y 0.6667 0.3333 0.7596
Rh 0.0000 0.0000 0.0000
```